## i
# MgSbI2F, optimized geometry, DFT PBE
data_MgSbI2F
_cell_length_a 5.472
_cell_length_b 5.472
_cell_length_c 5.658
_cell_angle_alpha 90.00
_cell_angle_beta 90.00
_cell_angle_gamma 90.00
_symmetry_space_group_name_H-M 'P 4/m m m'
_symmetry_Int_Tables_number 123
_symmetry_space_group_name_Hall '-P 4 2'
loop_
_atom_site_label
_atom_site_type_symbol
_atom_site_fract_x
_atom_site_fract_y
_atom_site_fract_z
Mg1 Mg 0.000 0.000 0.000
Sb1 Sb 0.000 0.000 0.500
I1 I 0.000 0.500 0.000
F1 F 0.500 0.500 0.500
# * density of states at the Fermi level: 5.191 states/eV/cell

## ii
# MgSbI2F, optimized geometry, DFT PBE
data_MgSbI2F
_cell_length_a 5.944
_cell_length_b 5.944
_cell_length_c 4.251
_cell_angle_alpha 90.00
_cell_angle_beta 90.00
_cell_angle_gamma 90.00
_symmetry_space_group_name_H-M 'P 4/m m m'
_symmetry_Int_Tables_number 123
_symmetry_space_group_name_Hall '-P 4 2'
loop_
_atom_site_label
_atom_site_type_symbol
_atom_site_fract_x
_atom_site_fract_y
_atom_site_fract_z
Mg1 Mg 0.000 0.000 0.000
Sb1 Sb 0.500 0.500 0.000
I1 I 0.000 0.500 0.500
F1 F 0.500 0.500 0.500
# * density of states at the Fermi level: 2.462 states/eV/cell

The structure with the least stability is i.

## i
# MgTe2IF, optimized geometry, DFT PBE
data_MgTe2IF
_cell_length_a 5.465
_cell_length_b 5.465
_cell_length_c 5.507
_cell_angle_alpha 90.00
_cell_angle_beta 90.00
_cell_angle_gamma 90.00
_symmetry_space_group_name_H-M 'P 4/m m m'
_symmetry_Int_Tables_number 123
_symmetry_space_group_name_Hall '-P 4 2'
loop_
_atom_site_label
_atom_site_type_symbol
_atom_site_fract_x
_atom_site_fract_y
_atom_site_fract_z
Mg1 Mg 0.000 0.000 0.000
Te1 Te 0.000 0.500 0.000
I1 I 0.000 0.000 0.500
F1 F 0.500 0.500 0.500
# * density of states at the Fermi level: 5.121 states/eV/cell

## ii
# MgTe2IF, optimized geometry, DFT PBE
data_MgTe2IF
_cell_length_a 4.672
_cell_length_b 4.672
_cell_length_c 6.668
_cell_angle_alpha 90.00
_cell_angle_beta 90.00
_cell_angle_gamma 90.00
_symmetry_space_group_name_H-M 'P 4/m m m'
_symmetry_Int_Tables_number 123
_symmetry_space_group_name_Hall '-P 4 2'
loop_
_atom_site_label
_atom_site_type_symbol
_atom_site_fract_x
_atom_site_fract_y
_atom_site_fract_z
Mg1 Mg 0.000 0.000 0.000
Te1 Te 0.000 0.500 0.500
I1 I 0.500 0.500 0.000
F1 F 0.500 0.500 0.500
# * density of states at the Fermi level: 3.613 states/eV/cell

The structure with the least stability is i.